Below is HfFe2Se2 after structural relaxation, with properties calculated at the PBE level.

Values from the calculation:
total energy	-6.875	eV/atom
raw formation energy	-0.11	eV per atom
density of states at the Fermi level	1.264	states/eV per atom

Cell lengths 7.084, 7.084, 3.256 Å; angles 90.00, 90.00, 90.00 degrees
Sites, in units of the cell vectors:
Hf 0.000 0.000 0.000
Hf 0.500 0.500 0.000
Fe 0.126 0.374 0.500
Fe 0.374 0.874 0.500
Fe 0.626 0.126 0.500
Fe 0.874 0.626 0.500
Se 0.165 0.665 0.000
Se 0.335 0.165 0.000
Se 0.665 0.835 0.000
Se 0.835 0.335 0.000